Entry 1:
Material: NdSm2Dy6Er3
Method: DFT, PBE
State: optimized geometry

Lattice parameters (Å, degrees): 6.1629 6.1629 11.7846 94.98 94.98 119.96
Element x y z (fractional)
1 Nd 0.0000 0.0000 0.0000
2 Sm 0.3333 0.6667 0.0000
3 Sm 0.6667 0.3333 0.0000
4 Dy 0.0853 0.4189 0.2538
5 Dy 0.2483 0.2483 0.7462
6 Dy 0.4189 0.0853 0.2538
7 Dy 0.5811 0.9147 0.7462
8 Dy 0.7517 0.7517 0.2538
9 Dy 0.9147 0.5811 0.7462
10 Er 0.1668 0.8332 0.5000
11 Er 0.5000 0.5000 0.5000
12 Er 0.8332 0.1668 0.5000

Properties
V, Å³ per atom: 31.82
Energy relative to the elements, eV/atom: 0.018
Density, g/cm³: 8.36
DFT total energy, eV/atom: -4.607

=====

Entry 2:
Material: BeCuPb2
Method: DFT, PBE
State: optimized geometry

Lattice parameters (Å, degrees): 5.0081 5.0081 5.0081 128.95 113.88 88.08
Element x y z (fractional)
1 Be 0.0000 0.0000 0.0000
2 Cu 0.5000 0.5000 0.0000
3 Pb 0.2434 0.7434 0.5000
4 Pb 0.7566 0.2566 0.5000

Properties
V, Å³ per atom: 21.22
Energy relative to the elements, eV/atom: 0.558
Density, g/cm³: 9.52
DFT total energy, eV/atom: -3.251

=====

Entry 3:
Material: ZrRe3Ir
Method: DFT, PBE
State: optimized geometry

Lattice parameters (Å, degrees): 4.7060 4.7060 4.7060 90.00 90.00 90.00
Element x y z (fractional)
1 Zr 0.0000 0.0000 0.0000
2 Re 0.0000 0.5000 0.5000
3 Re 0.5000 0.0000 0.5000
4 Re 0.5000 0.5000 0.0000
5 Ir 0.5000 0.5000 0.5000

Properties
V, Å³ per atom: 20.84
Energy relative to the elements, eV/atom: 1.645
Density, g/cm³: 13.42
Energy relative to the lowest polymorph listed for this composition, kJ per mole of atoms: 0.00
DFT total energy, eV/atom: -9.305

=====

Entry 4:
Material: Pm16Nd7Y6
Method: DFT, PBE
State: optimized geometry

Lattice parameters (Å, degrees): 11.3716 11.3716 11.3716 60.00 60.00 60.00
Element x y z (fractional)
1 Pm 0.0438 0.6521 0.6521
2 Pm 0.1252 0.1252 0.1252
3 Pm 0.1252 0.1252 0.6245
4 Pm 0.1252 0.6245 0.1252
5 Pm 0.3479 0.3479 0.3479
6 Pm 0.3479 0.3479 0.9562
7 Pm 0.3479 0.9562 0.3479
8 Pm 0.3755 0.8748 0.8748
9 Pm 0.6245 0.1252 0.1252
10 Pm 0.6521 0.0438 0.6521
11 Pm 0.6521 0.6521 0.0438
12 Pm 0.6521 0.6521 0.6521
13 Pm 0.8748 0.3755 0.8748
14 Pm 0.8748 0.8748 0.3755
15 Pm 0.8748 0.8748 0.8748
16 Pm 0.9562 0.3479 0.3479
17 Nd 0.0000 0.0000 0.0000
18 Nd 0.0000 0.0000 0.5000
19 Nd 0.0000 0.5000 0.0000
20 Nd 0.0000 0.5000 0.5000
21 Nd 0.5000 0.0000 0.0000
22 Nd 0.5000 0.0000 0.5000
23 Nd 0.5000 0.5000 0.0000
24 Y 0.2692 0.2692 0.7308
25 Y 0.2692 0.7308 0.2692
26 Y 0.2692 0.7308 0.7308
27 Y 0.7308 0.2692 0.2692
28 Y 0.7308 0.2692 0.7308
29 Y 0.7308 0.7308 0.2692

Properties
V, Å³ per atom: 35.85
Energy relative to the elements, eV/atom: 0.220
Density, g/cm³: 6.17
DFT total energy, eV/atom: -4.889